Record 1
## TbHo2Tl3AgPd2 (PBE)

Data for TbHo2Tl3AgPd2 after structural relaxation.

Properties
SG	No. 38
total DFT energy (no corrections)	-4.33	eV/atom

Structure (POSCAR):
```
TbHo2Tl3AgPd2
1.0
3.7600 0.0000 0.0000
0.0000 6.8688 3.9616
0.0000 -6.8688 3.9616
Ho Tl Tb Ag Pd
2 3 1 1 2
Cartesian
1.8800 -4.0790 2.3526
1.8800 4.0790 2.3526
0.0000 -1.8837 1.0864
0.0000 0.0000 5.7520
0.0000 1.8837 1.0864
1.8800 0.0000 3.2142
1.8800 0.0000 7.9190
0.0000 -2.3016 3.9647
0.0000 2.3016 3.9647
```

---

Record 2
## ZrTlCoTc (PBE)

Data for ZrTlCoTc after structural relaxation.

Properties
SG	No. 216
excess energy over the best structure of this formula in the dataset	242	meV per atom

Structure (POSCAR):
```
ZrTlCoTc
1.0
-4.3322 -1.2263 1.1324
-3.5300 2.8915 -0.8562
-3.0724 -1.0100 -3.3308
Zr Tl Co Tc
1 1 1 1
Cartesian
-2.7336 0.1638 -0.7636
0.0000 0.0000 0.0000
-8.2010 0.4914 -2.2909
-5.4673 0.3276 -1.5273
```

---

Record 3
## PmSiW (PBE)

Data for PmSiW after structural relaxation.

Properties
SG	No. 216
excess energy over the best structure of this formula in the dataset	1138	meV per atom

Structure (POSCAR):
```
PmSiW
1.0
0.0000 3.3834 3.3834
3.3834 0.0000 3.3834
3.3834 3.3834 0.0000
W Pm Si
1 1 1
Cartesian
5.0751 5.0751 5.0751
0.0000 0.0000 0.0000
1.6917 1.6917 1.6917
```

---

Record 4
## TmCl (PBE)

Data for TmCl after structural relaxation.

Properties
SG	No. 216
total DFT energy (no corrections)	-3.92	eV/atom

Structure (POSCAR):
```
TmCl
1.0
-1.0489 3.1078 2.8132
0.6715 4.1469 -1.0121
-3.3574 2.5988 -0.8040
Cl Tm
1 1
Cartesian
0.0000 0.0000 0.0000
-0.9337 2.4634 0.2493
```